No. 1
{
  "formula": "Ti3HgBr",
  "functional": "PBE",
  "state": "optimized geometry",
  "e_tot_ev_per_atom": -4.6991,
  "sg": "Pm-3m",
  "relative_energy_ev_per_atom": 0.000,
  "dos_at_fermi_per_ev_fu": 4.74,
  "e_form_raw_mev_per_atom": 433,
  "lattice_angstrom": [[4.694, 0.000, 0.000], [0.000, 4.694, 0.000], [0.000, 0.000, 4.694]],
  "species": ["Hg", "Br", "Ti", "Ti", "Ti"],
  "frac_coords": [[0.500, 0.500, 0.500], [0.000, 0.000, 0.000], [0.000, 0.500, 0.000], [0.000, 0.000, 0.500], [0.500, 0.000, 0.000]]
}



No. 2
{
  "formula": "Li2Mg3Tl3Ga",
  "functional": "PBE",
  "state": "optimized geometry",
  "e_tot_ev_per_atom": -2.1931,
  "sg": "P-62m",
  "dos_at_fermi_per_ev_fu": 2.55,
  "formation_energy_ev_per_atom": -0.11,
  "lattice_angstrom": [[-3.204, 1.160, 0.158], [0.200, -0.563, 8.193], [2.336, 6.954, -3.697]],
  "species": ["Li", "Li", "Mg", "Mg", "Mg", "Tl", "Tl", "Tl", "Ga"],
  "frac_coords": [[0.500, 0.667, 0.333], [0.500, 0.333, 0.667], [0.500, 0.729, 0.000], [0.500, 0.000, 0.729], [0.500, 0.271, 0.271], [0.000, 0.607, 0.607], [0.000, 0.000, 0.393], [0.000, 0.393, 0.000], [0.000, 0.000, 0.000]]
}



No. 3
{
  "formula": "Th6Os2RuS3",
  "functional": "PBE",
  "state": "optimized geometry",
  "e_tot_ev_per_atom": -8.4656,
  "sg": "C2/m",
  "dos_at_fermi_per_ev_fu": 4.74,
  "e_form_raw_mev_per_atom": -1079,
  "lattice_angstrom": [[-1.790, 3.214, 1.737], [-2.541, -4.932, 6.509], [9.214, 1.825, 1.355]],
  "species": ["Th", "Th", "Th", "Th", "Th", "Th", "Os", "Os", "Ru", "S", "S", "S"],
  "frac_coords": [[0.339, 0.902, 0.678], [0.672, 0.568, 0.344], [0.661, 0.098, 0.322], [0.006, 0.235, 0.011], [0.994, 0.765, 0.989], [0.328, 0.432, 0.656], [0.834, 0.668, 0.668], [0.166, 0.332, 0.332], [0.500, 0.000, 0.000], [0.500, 0.500, 0.000], [0.834, 0.167, 0.667], [0.166, 0.833, 0.333]]
}



No. 4
{
  "formula": "Rb8Hg3Bi2",
  "functional": "PBE",
  "state": "optimized geometry",
  "e_tot_ev_per_atom": -1.4871,
  "sg": "C2/m",
  "dos_at_fermi_per_ev_fu": 8.25,
  "formation_energy_ev_per_atom": -0.22,
  "lattice_angstrom": [[6.042, 0.051, -0.157], [-0.195, 9.449, -4.424], [0.234, -0.041, 12.209]],
  "species": ["Rb", "Rb", "Rb", "Rb", "Rb", "Rb", "Rb", "Rb", "Hg", "Hg", "Hg", "Bi", "Bi"],
  "frac_coords": [[0.247, 0.566, 0.131], [0.753, 0.434, 0.869], [0.244, 0.160, 0.320], [0.756, 0.840, 0.680], [0.250, 0.116, 0.646], [0.250, 0.530, 0.646], [0.750, 0.470, 0.354], [0.750, 0.884, 0.354], [0.500, 0.000, 0.000], [0.000, 0.839, 0.000], [0.000, 0.161, 0.000], [0.748, 0.273, 0.546], [0.252, 0.727, 0.454]]
}



No. 5
{
  "formula": "Ca2Er2Mg15",
  "functional": "PBE",
  "state": "optimized geometry",
  "e_tot_ev_per_atom": -1.9487,
  "sg": "R-3m",
  "dos_at_fermi_per_ev_fu": 15.17,
  "formation_energy_ev_per_atom": 0.00,
  "lattice_angstrom": [[-7.968, 0.067, 0.728], [-0.321, -0.385, 7.986], [-0.855, 7.834, 1.389]],
  "species": ["Ca", "Ca", "Er", "Er", "Mg", "Mg", "Mg", "Mg", "Mg", "Mg", "Mg", "Mg", "Mg", "Mg", "Mg", "Mg", "Mg", "Mg", "Mg"],
  "frac_coords": [[0.338, 0.338, 0.338], [0.662, 0.662, 0.662], [0.099, 0.099, 0.099], [0.901, 0.901, 0.901], [0.500, 0.000, 0.000], [0.000, 0.000, 0.500], [0.000, 0.500, 0.000], [0.000, 0.705, 0.295], [0.705, 0.295, 0.000], [0.295, 0.000, 0.705], [0.295, 0.705, 0.000], [0.705, 0.000, 0.295], [0.000, 0.295, 0.705], [0.153, 0.646, 0.646], [0.646, 0.646, 0.153], [0.646, 0.153, 0.646], [0.847, 0.354, 0.354], [0.354, 0.354, 0.847], [0.354, 0.847, 0.354]]
}



No. 6
{
  "formula": "LiIrCl2",
  "functional": "PBE",
  "state": "optimized geometry",
  "e_tot_ev_per_atom": -4.0813,
  "sg": "R-3m",
  "relative_energy_ev_per_atom": 0.016,
  "dos_at_fermi_per_ev_fu": 3.19,
  "e_form_raw_mev_per_atom": -464,
  "lattice_angstrom": [[1.826, 0.000, 7.610], [-0.913, 1.582, 7.610], [-0.913, -1.582, 7.610]],
  "species": ["Ir", "Li", "Cl", "Cl"],
  "frac_coords": [[0.000, 0.000, 0.000], [0.500, 0.500, 0.500], [0.900, 0.900, 0.900], [0.100, 0.100, 0.100]]
}